TiCoBr2 | PBE-GGA | optimized geometry

* M_tot: 0.3882 μB per atom
* calculated total energy: -18.404 eV for the cell shown
* E_form (uncorrected): -0.1 eV/f.u.
* relative energy among the computed polymorphs: 0.000 eV/atom

Cell: 8.455 8.455 8.455 Å, 22.66 22.66 22.66°
Site moments in Bohr magnetons follow the coordinates.
Sites, in units of the cell vectors:
Br  0.095  0.095  0.095  0.01
Co  0.000  0.000  0.000  1.57
Br  0.905  0.905  0.905  0.01
Ti  0.500  0.500  0.500  0.06